(1)
VASP calculation (PBE-GGA) on a relaxed structure of P2Ir.

```
P2Ir
1.0
2.8700 0.0023 -0.0011
1.4337 3.5669 -0.0010
0.0282 0.3007 4.4924
P Ir
2 1
Cartesian
2.1522 0.2411 1.2653 P
2.1798 3.6287 3.2251 P
0.7168 1.7834 -0.0005 Ir
```

Formation enthalpy at 0 K (eV per atom): -0.233
DOS at the Fermi energy (states/eV per atom): 0.25
Theoretical density (g/cm3): 9.18
Symmetry: P-1, No. 2


(2)
VASP calculation (PBE-GGA) on a relaxed structure of P3Ir.

```
P3Ir
1.0
3.8807 -0.0082 -0.0025
-1.4329 3.6250 0.0058
-0.2182 -0.8924 4.7623
P Ir
3 1
Cartesian
2.1236 -0.0037 1.4072 P
2.2385 1.6927 3.3596 P
1.2765 1.6634 0.1796 P
0.1608 0.2930 2.7942 Ir
```

Distance to the lowest polymorph of the same formula (meV/atom): 532
Formation enthalpy at 0 K (eV per atom): -0.112
DOS at the Fermi energy (states/eV per atom): 0.10
Theoretical density (g/cm3): 7.07
Symmetry: P1, No. 1